No. 1
Below is crystalline Cd2RuCl at its relaxed geometry, with properties calculated at the GGA-PBE level.

Uncorrected formation energy ... 0.228 eV/atom
ΔE to the lowest computed polymorph ... 208 meV/atom
Crystal system ... orthorhombic
Space-group type ... Cmm2

Structure (extended XYZ):
```
4
Lattice="3.079 -0.005 0.000 -1.646 2.602 0.000 0.000 0.000 10.300" Properties=species:S:1:pos:R:3 pbc="T T T"
Cd 0.000 0.000 9.939
Cl 0.000 0.000 5.778
Cd 0.716 1.298 2.464
Ru 0.716 1.298 7.568
```

=====

No. 2
Below is crystalline Ca5PrS6 at its relaxed geometry, with properties calculated at the GGA-PBE level.

Uncorrected formation energy ... -2.104 eV/atom
Crystal system ... monoclinic
Space-group type ... C2/m

Structure (extended XYZ):
```
12
Lattice="6.934 0.168 1.053 1.702 5.877 3.426 0.116 0.063 7.011" Properties=species:S:1:pos:R:3 pbc="T T T"
S 5.373 0.639 3.427
S 2.770 3.476 4.606
Ca 4.318 3.022 2.239
S 6.463 4.523 3.351
Pr 0.000 0.000 0.000
S 2.174 1.521 1.127
Ca 1.213 3.961 6.956
S 3.380 5.468 8.062
Ca 4.924 5.001 5.721
Ca 0.606 1.979 3.480
S 5.982 2.632 6.883
Ca 3.829 1.107 5.768
```

=====

No. 3
Below is crystalline CdGa2SbTe2 at its relaxed geometry, with properties calculated at the GGA-PBE level.

Uncorrected formation energy ... -0.159 eV/atom
Crystal system ... orthorhombic
Space-group type ... Cmc2_1

Structure (extended XYZ):
```
12
Lattice="7.811 0.000 0.000 0.000 7.772 0.000 0.000 -3.886 6.643" Properties=species:S:1:pos:R:3 pbc="T T T"
Ga 2.444 -1.360 4.506
Ga 6.349 5.245 2.137
Cd 2.484 6.436 0.000
Te 1.365 5.066 2.342
Ga 2.444 2.526 2.137
Te 5.270 2.706 2.342
Sb 5.312 6.488 0.000
Te 5.270 -1.180 4.300
Te 1.365 1.180 4.300
Ga 6.349 1.360 4.506
Sb 1.406 1.283 0.000
Cd 6.389 1.336 0.000
```

=====

Ordered D(E_F) results: 2.96; 2.37; 7.37; unit states/eV per cell.